Zn2MoRu | PBE | relaxed

Cell: 4.973 4.973 4.973 Å, 143.14 127.68 65.71°
Atoms (fractional coordinates):
Zn: 0.243 0.743 0.500
Zn: 0.004 0.004 0.000
Ru: 0.749 0.249 0.500
Mo: 0.504 0.504 0.000

Output
Energy above the most stable polymorph in this dataset   0.1279 eV/atom
Symmetry   No. 44
Formation enthalpy at 0 K   100 meV/atom
Density of states at the Fermi level   2.8 states/eV per cell